Entry 1:
The following is a DFT calculation (PBE) of a geometry-optimized AsPSCl2 structure.

Output
relative energy among the computed polymorphs	188	meV/atom
DOS(E_F)	3.84	states/eV/cell
E_form (uncorrected)	0.63	eV/atom
volume	24.327	Å³ per atom

Geometry as CIF:
```
data_AsPSCl2
_space_group_name_H-M_alt 'P 1'
_space_group_IT_number 1
_space_group_name_Hall 'P 1'
_cell_length_a 4.719
_cell_length_b 4.719
_cell_length_c 5.462
_cell_angle_alpha 90.00
_cell_angle_beta 90.00
_cell_angle_gamma 90.00
loop_
_atom_site_label
_atom_site_type_symbol
_atom_site_fract_x
_atom_site_fract_y
_atom_site_fract_z
_atom_site_occupancy
As1 As 0.000 0.000 0.000 1
P1 P 0.000 0.000 0.500 1
S1 S 0.500 0.500 0.500 1
Cl1 Cl 0.000 0.500 0.000 1
Cl2 Cl 0.500 0.000 0.000 1
```

Entry 2:
The following is a DFT calculation (PBE) of a geometry-optimized KCl5 structure.

Output
relative energy among the computed polymorphs	339	meV/atom
DOS(E_F)	3.36	states/eV/cell
E_form (uncorrected)	-0.32	eV/atom
volume	35.314	Å³ per atom

Geometry as CIF:
```
data_KCl5
_space_group_name_H-M_alt 'P 1'
_space_group_IT_number 1
_space_group_name_Hall 'P 1'
_cell_length_a 10.753
_cell_length_b 10.753
_cell_length_c 4.454
_cell_angle_alpha 90.00
_cell_angle_beta 90.00
_cell_angle_gamma 155.71
loop_
_atom_site_label
_atom_site_type_symbol
_atom_site_fract_x
_atom_site_fract_y
_atom_site_fract_z
_atom_site_occupancy
K1 K 0.000 0.000 0.000 1
Cl1 Cl 0.236 0.764 0.500 1
Cl2 Cl 0.403 0.597 0.000 1
Cl3 Cl 0.500 0.500 0.500 1
Cl4 Cl 0.597 0.403 0.000 1
Cl5 Cl 0.764 0.236 0.500 1
```

Entry 3:
The following is a DFT calculation (PBE) of a geometry-optimized Pr2DySi3Ni12 structure.

Output
DOS(E_F)	13.14	states/eV/cell
E_form (uncorrected)	0.04	eV/atom
volume	17.052	Å³ per atom

Geometry as CIF:
```
data_Pr2DySi3Ni12
_space_group_name_H-M_alt 'P 1'
_space_group_IT_number 1
_space_group_name_Hall 'P 1'
_cell_length_a 7.670
_cell_length_b 7.670
_cell_length_c 7.670
_cell_angle_alpha 58.35
_cell_angle_beta 58.35
_cell_angle_gamma 58.35
loop_
_atom_site_label
_atom_site_type_symbol
_atom_site_fract_x
_atom_site_fract_y
_atom_site_fract_z
_atom_site_occupancy
Pr1 Pr 0.099 0.099 0.099 1
Pr2 Pr 0.901 0.901 0.901 1
Dy1 Dy 0.500 0.500 0.500 1
Si1 Si 0.000 0.500 0.500 1
Si2 Si 0.500 0.000 0.500 1
Si3 Si 0.500 0.500 0.000 1
Ni1 Ni 0.026 0.661 0.661 1
Ni2 Ni 0.149 0.149 0.614 1
Ni3 Ni 0.149 0.614 0.149 1
Ni4 Ni 0.339 0.339 0.974 1
Ni5 Ni 0.339 0.974 0.339 1
Ni6 Ni 0.386 0.851 0.851 1
Ni7 Ni 0.614 0.149 0.149 1
Ni8 Ni 0.661 0.026 0.661 1
Ni9 Ni 0.661 0.661 0.026 1
Ni10 Ni 0.851 0.386 0.851 1
Ni11 Ni 0.851 0.851 0.386 1
Ni12 Ni 0.974 0.339 0.339 1
```

Entry 4:
The following is a DFT calculation (PBE) of a geometry-optimized Cd3BMo structure.

Output
relative energy among the computed polymorphs	0	meV/atom
DOS(E_F)	2.65	states/eV/cell
volume	18.886	Å³ per atom
calculated formation energy	1.080	eV/atom

Geometry as CIF:
```
data_Cd3BMo
_space_group_name_H-M_alt 'P 1'
_space_group_IT_number 1
_space_group_name_Hall 'P 1'
_cell_length_a 4.554
_cell_length_b 4.554
_cell_length_c 4.554
_cell_angle_alpha 90.00
_cell_angle_beta 90.00
_cell_angle_gamma 90.00
loop_
_atom_site_label
_atom_site_type_symbol
_atom_site_fract_x
_atom_site_fract_y
_atom_site_fract_z
_atom_site_occupancy
Cd1 Cd 0.000 0.000 0.500 1
Cd2 Cd 0.000 0.500 0.000 1
Cd3 Cd 0.500 0.000 0.000 1
B1 B 0.000 0.000 0.000 1
Mo1 Mo 0.500 0.500 0.500 1
```

Entry 5:
The following is a DFT calculation (PBE) of a geometry-optimized TcIr3N structure.

Output
relative energy among the computed polymorphs	2173	meV/atom
DOS(E_F)	8.29	states/eV/cell
E_form (uncorrected)	2.98	eV/atom
volume	20.481	Å³ per atom

Geometry as CIF:
```
data_TcIr3N
_space_group_name_H-M_alt 'P 1'
_space_group_IT_number 1
_space_group_name_Hall 'P 1'
_cell_length_a 4.679
_cell_length_b 4.679
_cell_length_c 4.679
_cell_angle_alpha 90.00
_cell_angle_beta 90.00
_cell_angle_gamma 90.00
loop_
_atom_site_label
_atom_site_type_symbol
_atom_site_fract_x
_atom_site_fract_y
_atom_site_fract_z
_atom_site_occupancy
Tc1 Tc 0.000 0.000 0.000 1
Ir1 Ir 0.000 0.000 0.500 1
Ir2 Ir 0.000 0.500 0.000 1
Ir3 Ir 0.500 0.000 0.000 1
N1 N 0.500 0.500 0.500 1
```

Entry 6:
The following is a DFT calculation (PBE) of a geometry-optimized CaHRu structure.

Output
relative energy among the computed polymorphs	67	meV/atom
DOS(E_F)	3.04	states/eV/cell
volume	17.554	Å³ per atom

Geometry as CIF:
```
data_CaHRu
_space_group_name_H-M_alt 'P 1'
_space_group_IT_number 1
_space_group_name_Hall 'P 1'
_cell_length_a 5.485
_cell_length_b 5.485
_cell_length_c 5.654
_cell_angle_alpha 116.77
_cell_angle_beta 116.77
_cell_angle_gamma 45.18
loop_
_atom_site_label
_atom_site_type_symbol
_atom_site_fract_x
_atom_site_fract_y
_atom_site_fract_z
_atom_site_occupancy
Ca1 Ca 0.000 0.000 0.000 1
Ca2 Ca 0.617 0.617 0.600 1
H1 H 0.312 0.312 0.814 1
H2 H 0.989 0.989 0.578 1
Ru1 Ru 0.308 0.308 0.110 1
Ru2 Ru 0.818 0.818 0.299 1
```